w:
This record from the Alexandria database describes a relaxed structure of Sb3C. The functional is PBE.

Summary:
Crystal system   tetragonal

Unit cell a=4.8870 b=4.8870 c=3.7290 alpha=90.00 beta=90.00 gamma=90.00
Positions (direct):
Sb  0.5000  0.0000  0.5000
Sb  0.5000  0.5000  0.0000
Sb  0.0000  0.5000  0.5000
C  0.0000  0.0000  0.0000

x:
This record from the Alexandria database describes a relaxed structure of Sb3C. The functional is PBE.

Summary:
Crystal system   hexagonal

Unit cell a=8.3543 b=8.3543 c=3.2657 alpha=90.00 beta=90.00 gamma=120.00
Positions (direct):
Sb  0.7939  0.5879  0.2500
Sb  0.4121  0.2061  0.2500
Sb  0.7939  0.2061  0.2500
Sb  0.2061  0.4121  0.7500
Sb  0.5879  0.7939  0.7500
Sb  0.2061  0.7939  0.7500
C  0.3333  0.6667  0.2500
C  0.6667  0.3333  0.7500

y:
This record from the Alexandria database describes a relaxed structure of Sb3C. The functional is PBE.

Summary:
Crystal system   orthorhombic

Unit cell a=3.3170 b=5.5065 c=5.5046 alpha=60.90 beta=90.00 gamma=90.00
Positions (direct):
Sb  0.5000  0.8214  0.8213
Sb  0.0000  0.5000  0.5000
Sb  0.5000  0.1786  0.1787
C  0.0000  0.0000  0.0000

z:
This record from the Alexandria database describes a relaxed structure of Sb3C. The functional is PBE.

Summary:
Crystal system   tetragonal

Unit cell a=7.8857 b=7.8857 c=7.8857 alpha=139.99 beta=139.99 gamma=57.87
Positions (direct):
Sb  0.0000  0.5000  0.5000
Sb  0.5000  0.0000  0.5000
Sb  0.7500  0.2500  0.5000
Sb  0.2500  0.7500  0.5000
Sb  0.8592  0.8592  0.0000
Sb  0.1408  0.1408  0.0000
C  0.5469  0.5469  0.0000
C  0.4531  0.4531  0.0000

z takes first place; second place is 99 meV per atom up.

w:
This record from the Alexandria database describes a relaxed structure of Sb4C3. The functional is PBE.

Summary:
Crystal system   tetragonal

Unit cell a=11.9396 b=11.9396 c=11.9396 alpha=164.11 beta=164.11 gamma=22.54
Positions (direct):
Sb  0.8058  0.8058  0.0000
Sb  0.1942  0.1942  0.0000
Sb  0.5596  0.5596  0.0000
Sb  0.4404  0.4404  0.0000
C  0.0000  0.0000  0.0000
C  0.7098  0.7098  0.0000
C  0.2902  0.2902  0.0000

x:
This record from the Alexandria database describes a relaxed structure of Sb4C3. The functional is PBE.

Summary:
Crystal system   hexagonal

Unit cell a=4.5998 b=4.5998 c=8.0144 alpha=90.00 beta=90.00 gamma=120.00
Positions (direct):
Sb  0.0000  0.0000  0.1783
Sb  0.0000  0.0000  0.8217
Sb  0.6667  0.3333  0.5000
Sb  0.3333  0.6667  0.5000
C  0.0000  0.5000  0.0000
C  0.5000  0.5000  0.0000
C  0.5000  0.0000  0.0000

y:
This record from the Alexandria database describes a relaxed structure of Sb4C3. The functional is PBE.

Summary:
Crystal system   cubic

Unit cell a=4.9224 b=4.9224 c=4.9224 alpha=90.00 beta=90.00 gamma=90.00
Positions (direct):
Sb  0.0000  0.0000  0.0000
Sb  0.0000  0.5000  0.5000
Sb  0.5000  0.0000  0.5000
Sb  0.5000  0.5000  0.0000
C  0.0000  0.5000  0.0000
C  0.0000  0.0000  0.5000
C  0.5000  0.0000  0.0000

y takes first place; second place is 24 meV per atom up.

w:
This record from the Alexandria database describes a relaxed structure of Sb5C4. The functional is PBE.

Summary:
Crystal system   hexagonal

Unit cell a=7.1442 b=7.1442 c=6.8531 alpha=90.00 beta=90.00 gamma=120.00
Positions (direct):
Sb  0.0000  0.7478  0.2500
Sb  0.2522  0.2522  0.2500
Sb  0.7478  0.0000  0.2500
Sb  0.0000  0.2522  0.7500
Sb  0.7478  0.7478  0.7500
Sb  0.2522  0.0000  0.7500
Sb  0.6667  0.3333  0.0000
Sb  0.3333  0.6667  0.5000
Sb  0.3333  0.6667  0.0000
Sb  0.6667  0.3333  0.5000
C  0.0000  0.0000  0.0000
C  0.0000  0.0000  0.5000
C  0.0000  0.4099  0.2500
C  0.5901  0.5901  0.2500
C  0.4099  0.0000  0.2500
C  0.0000  0.5901  0.7500
C  0.4099  0.4099  0.7500
C  0.5901  0.0000  0.7500

x:
This record from the Alexandria database describes a relaxed structure of Sb5C4. The functional is PBE.

Summary:
Crystal system   tetragonal

Unit cell a=6.4196 b=6.4196 c=6.4196 alpha=104.22 beta=104.22 gamma=120.57
Positions (direct):
Sb  0.0000  0.0000  0.0000
Sb  0.2562  0.7438  0.0000
Sb  0.7438  0.2562  0.0000
Sb  0.2562  0.2562  0.5123
Sb  0.7438  0.7438  0.4877
C  0.0000  0.5815  0.5815
C  0.0000  0.4185  0.4185
C  0.4185  0.0000  0.4185
C  0.5815  0.0000  0.5815

x takes first place; second place is 736 meV per atom up.

w:
This record from the Alexandria database describes a relaxed structure of Sb4C5. The functional is PBE.

Summary:
Crystal system   hexagonal

Unit cell a=6.7501 b=6.7501 c=6.4669 alpha=90.00 beta=90.00 gamma=120.00
Positions (direct):
Sb  0.0000  0.0000  0.0000
Sb  0.0000  0.0000  0.5000
Sb  0.0000  0.4467  0.2500
Sb  0.5533  0.5533  0.2500
Sb  0.4467  0.0000  0.2500
Sb  0.0000  0.5533  0.7500
Sb  0.4467  0.4467  0.7500
Sb  0.5533  0.0000  0.7500
C  0.0000  0.7661  0.2500
C  0.2339  0.2339  0.2500
C  0.7661  0.0000  0.2500
C  0.0000  0.2339  0.7500
C  0.7661  0.7661  0.7500
C  0.2339  0.0000  0.7500
C  0.6667  0.3333  0.0000
C  0.3333  0.6667  0.5000
C  0.3333  0.6667  0.0000
C  0.6667  0.3333  0.5000

x:
This record from the Alexandria database describes a relaxed structure of Sb4C5. The functional is PBE.

Summary:
Crystal system   tetragonal

Unit cell a=7.5676 b=7.5676 c=7.5676 alpha=91.88 beta=91.88 gamma=159.13
Positions (direct):
Sb  0.7704  0.0000  0.7704
Sb  0.2296  0.0000  0.2296
Sb  0.0000  0.2296  0.2296
Sb  0.0000  0.7704  0.7704
C  0.0000  0.0000  0.0000
C  0.7721  0.2279  0.0000
C  0.2279  0.7721  0.0000
C  0.2279  0.2279  0.4558
C  0.7721  0.7721  0.5442

x takes first place; second place is 752 meV per atom up.

w:
This record from the Alexandria database describes a relaxed structure of ScSb3C. The functional is PBE.

Summary:
Crystal system   cubic

Unit cell a=5.4321 b=5.4321 c=5.4321 alpha=90.00 beta=90.00 gamma=90.00
Positions (direct):
Sc  0.0000  0.0000  0.0000
Sb  0.0000  0.5000  0.0000
Sb  0.0000  0.0000  0.5000
Sb  0.5000  0.0000  0.0000
C  0.5000  0.5000  0.5000

x:
This record from the Alexandria database describes a relaxed structure of ScSb3C. The functional is PBE.

Summary:
Crystal system   cubic

Unit cell a=4.7830 b=4.7830 c=4.7830 alpha=90.00 beta=90.00 gamma=90.00
Positions (direct):
Sc  0.5000  0.5000  0.5000
Sb  0.0000  0.5000  0.0000
Sb  0.0000  0.0000  0.5000
Sb  0.5000  0.0000  0.0000
C  0.0000  0.0000  0.0000

x takes first place; second place is 924 meV per atom up.

w:
This record from the Alexandria database describes a relaxed structure of Sc6Sb2C. The functional is PBE.

Summary:
Crystal system   tetragonal

Unit cell a=6.0645 b=6.0645 c=12.3683 alpha=90.00 beta=90.00 gamma=90.00
Positions (direct):
Sc  0.3159  0.3159  0.3732
Sc  0.6841  0.6841  0.3732
Sc  0.1841  0.8159  0.8732
Sc  0.8159  0.1841  0.8732
Sc  0.1841  0.8159  0.1268
Sc  0.8159  0.1841  0.1268
Sc  0.3159  0.3159  0.6268
Sc  0.6841  0.6841  0.6268
Sc  0.2761  0.2761  0.0000
Sc  0.7239  0.7239  0.0000
Sc  0.2239  0.7761  0.5000
Sc  0.7761  0.2239  0.5000
Sb  0.0000  0.0000  0.3212
Sb  0.5000  0.5000  0.8212
Sb  0.5000  0.5000  0.1788
Sb  0.0000  0.0000  0.6788
C  0.0000  0.0000  0.0000
C  0.5000  0.5000  0.5000

x:
This record from the Alexandria database describes a relaxed structure of Sc6Sb2C. The functional is PBE.

Summary:
Crystal system   tetragonal

Unit cell a=6.3828 b=6.3829 c=9.0567 alpha=90.00 beta=89.99 gamma=90.00
Positions (direct):
Sc  0.0000  0.0000  0.2540
Sc  0.7530  0.7529  0.5000
Sc  0.7471  0.7469  0.0000
Sc  0.7529  0.2469  0.5000
Sc  0.7470  0.2529  0.0000
Sc  0.5000  0.5000  0.2460
Sc  0.0000  0.0000  0.7460
Sc  0.2470  0.2471  0.5000
Sc  0.2529  0.2531  0.0000
Sc  0.2471  0.7531  0.5000
Sc  0.2530  0.7471  0.0000
Sc  0.5000  0.5000  0.7540
Sb  0.0000  0.5000  0.7500
Sb  0.5000  0.0000  0.7500
Sb  0.5000  0.0000  0.2500
Sb  0.0000  0.5000  0.2500
C  0.5000  0.5000  0.0000
C  0.0000  0.0000  0.5000

x takes first place; second place is 270 meV per atom up.

w:
This record from the Alexandria database describes a relaxed structure of Sb2TeCSe. The functional is PBE.

Summary:
Crystal system   tetragonal

Unit cell a=4.9672 b=4.9672 c=4.5763 alpha=90.00 beta=90.00 gamma=90.00
Positions (direct):
Sb  0.0000  0.5000  0.0000
Sb  0.5000  0.0000  0.0000
C  0.0000  0.0000  0.0000
Te  0.0000  0.0000  0.5000
Se  0.5000  0.5000  0.5000

x:
This record from the Alexandria database describes a relaxed structure of Sb2TeCSe. The functional is PBE.

Summary:
Crystal system   tetragonal

Unit cell a=5.4747 b=5.4747 c=5.4076 alpha=90.00 beta=90.00 gamma=90.00
Positions (direct):
Sb  0.0000  0.5000  0.0000
Sb  0.5000  0.0000  0.0000
C  0.5000  0.5000  0.5000
Te  0.0000  0.0000  0.5000
Se  0.0000  0.0000  0.0000

w takes first place; second place is 975 meV per atom up.

w:
This record from the Alexandria database describes a relaxed structure of SbTe2CSe. The functional is PBE.

Summary:
Crystal system   tetragonal

Unit cell a=5.4570 b=5.4570 c=5.4862 alpha=90.00 beta=90.00 gamma=90.00
Positions (direct):
Sb  0.0000  0.0000  0.5000
C  0.5000  0.5000  0.5000
Te  0.0000  0.5000  0.0000
Te  0.5000  0.0000  0.0000
Se  0.0000  0.0000  0.0000

x:
This record from the Alexandria database describes a relaxed structure of SbTe2CSe. The functional is PBE.

Summary:
Crystal system   tetragonal

Unit cell a=4.8712 b=4.5543 c=4.8712 alpha=90.00 beta=90.00 gamma=90.00
Positions (direct):
Sb  0.5000  0.5000  0.5000
C  0.0000  0.0000  0.0000
Te  0.0000  0.0000  0.5000
Te  0.5000  0.0000  0.0000
Se  0.0000  0.5000  0.0000

x takes first place; second place is 1002 meV per atom up.

w:
This record from the Alexandria database describes a relaxed structure of SiSbC2. The functional is PBE.

Summary:
Crystal system   cubic

Unit cell a=4.1112 b=4.1112 c=4.1112 alpha=60.00 beta=60.00 gamma=60.00
Positions (direct):
Sb  0.5000  0.5000  0.5000
Si  0.0000  0.0000  0.0000
C  0.2500  0.2500  0.2500
C  0.7500  0.7500  0.7500

x:
This record from the Alexandria database describes a relaxed structure of SiSbC2. The functional is PBE.

Summary:
Crystal system   tetragonal

Unit cell a=4.8981 b=4.8981 c=5.7167 alpha=64.63 beta=64.63 gamma=90.00
Positions (direct):
Sb  0.0000  0.0000  0.0000
Sb  0.7500  0.2500  0.5000
Si  0.5000  0.5000  0.0000
Si  0.2500  0.7500  0.5000
C  0.5561  0.1250  0.2500
C  0.1939  0.6250  0.2500
C  0.3750  0.4439  0.7500
C  0.8750  0.8061  0.7500

x takes first place; second place is 1449 meV per atom up.

w:
This record from the Alexandria database describes a relaxed structure of Si3SbC. The functional is PBE.

Summary:
Crystal system   cubic

Unit cell a=5.1907 b=5.1907 c=5.1907 alpha=90.00 beta=90.00 gamma=90.00
Positions (direct):
Sb  0.0000  0.0000  0.0000
Si  0.0000  0.5000  0.0000
Si  0.0000  0.0000  0.5000
Si  0.5000  0.0000  0.0000
C  0.5000  0.5000  0.5000

x:
This record from the Alexandria database describes a relaxed structure of Si3SbC. The functional is PBE.

Summary:
Crystal system   cubic

Unit cell a=4.2426 b=4.2426 c=4.2426 alpha=90.00 beta=90.00 gamma=90.00
Positions (direct):
Sb  0.5000  0.5000  0.5000
Si  0.0000  0.5000  0.0000
Si  0.0000  0.0000  0.5000
Si  0.5000  0.0000  0.0000
C  0.0000  0.0000  0.0000

x takes first place; second place is 1709 meV per atom up.